Compound: AgOs2Se
Source: the Alexandria database
Functional: PBE
Structure: optimized geometry

Cell and atoms, written as POSCAR:
```
AgOs2Se
1.0
2.911 0.000 0.000
-1.456 2.521 0.000
0.000 0.000 25.700
Ag Os Se
3 6 3
direct
0.000 0.000 0.000
0.333 0.667 0.667
0.667 0.333 0.333
0.000 0.000 0.241
0.000 0.000 0.759
0.333 0.667 0.425
0.333 0.667 0.908
0.667 0.333 0.092
0.667 0.333 0.575
0.000 0.000 0.500
0.333 0.667 0.167
0.667 0.333 0.833
```

The value obtained for the mass density is 14.98 g/cm³. Its space group is R-3m (166).



Compound: AgOsSe2
Source: the Alexandria database
Functional: PBE
Structure: optimized geometry

Cell and atoms, written as POSCAR:
```
AgOsSe2
1.0
5.966 0.000 0.000
0.000 5.966 0.000
0.000 0.000 10.931
Ag Os Se
4 4 8
direct
0.000 0.000 0.000
0.000 0.500 0.250
0.500 0.000 0.750
0.500 0.500 0.500
0.000 0.000 0.500
0.000 0.500 0.750
0.500 0.000 0.250
0.500 0.500 0.000
0.210 0.250 0.625
0.250 0.710 0.875
0.250 0.790 0.375
0.290 0.250 0.125
0.710 0.750 0.125
0.750 0.210 0.375
0.750 0.290 0.875
0.790 0.750 0.625
```

The value obtained for the mass density is 7.78 g/cm³. Its space group is I-42d (122). As for the offset from the most stable computed form: 178.0 meV/atom.



Compound: AgOs2Se
Source: the Alexandria database
Functional: PBE
Structure: optimized geometry

Cell and atoms, written as POSCAR:
```
AgOs2Se
1.0
2.798 0.000 0.000
0.000 4.876 0.000
0.000 0.000 9.893
Ag Os Se
2 4 2
direct
0.000 0.000 0.000
0.500 0.500 0.000
0.000 0.000 0.472
0.000 0.500 0.255
0.500 0.000 0.255
0.500 0.500 0.472
0.000 0.500 0.708
0.500 0.000 0.708
```

The value obtained for the mass density is 13.96 g/cm³. Its space group is Cmm2 (35).



Compound: AgOs2Se
Source: the Alexandria database
Functional: PBE
Structure: optimized geometry

Cell and atoms, written as POSCAR:
```
AgOs2Se
1.0
4.471 0.000 0.000
0.000 4.471 0.000
0.000 0.000 3.114
Ag Os Se
1 2 1
direct
0.000 0.000 0.000
0.000 0.500 0.500
0.500 0.000 0.500
0.500 0.500 0.000
```

The value obtained for the mass density is 15.14 g/cm³. Its space group is P4/mmm (123).



Compound: AgOsSe
Source: the Alexandria database
Functional: PBE
Structure: optimized geometry

Cell and atoms, written as POSCAR:
```
AgOsSe
1.0
3.072 0.000 0.000
-1.536 2.661 0.000
0.000 0.000 6.727
Ag Os Se
1 1 1
direct
0.000 0.000 0.000
0.333 0.667 0.336
0.667 0.333 0.583
```

The value obtained for the mass density is 11.39 g/cm³. Its space group is P3m1 (156). As for the offset from the most stable computed form: 8.3 meV/atom.



Compound: AgOsSe2
Source: the Alexandria database
Functional: PBE
Structure: optimized geometry

Cell and atoms, written as POSCAR:
```
AgOsSe2
1.0
2.921 0.000 0.000
0.000 3.204 0.000
-0.013 0.000 8.244
Ag Os Se
1 1 2
direct
0.000 0.000 0.000
0.500 0.000 0.500
0.499 0.500 0.273
0.501 0.500 0.727
```

The value obtained for the mass density is 9.81 g/cm³. Its space group is P2/m (10). As for the offset from the most stable computed form: 299.8 meV/atom.



Number 1: magnetization 0.00 μB/cell, calculated total energy -77.3 eV/cell, raw formation energy 3.0 eV/f.u.. Number 2: magnetization 0.00 μB/cell, calculated total energy -79.7 eV/cell, raw formation energy 1.1 eV/f.u.. Number 3: magnetization 0.60 μB/cell, calculated total energy -52.0 eV/cell, raw formation energy 2.8 eV/f.u.. Number 4: magnetization 0.00 μB/cell, calculated total energy -24.4 eV/cell, raw formation energy 4.4 eV/f.u.. Number 5: magnetization 0.00 μB/cell, calculated total energy -16.3 eV/cell, raw formation energy 1.2 eV/f.u.. Number 6: magnetization 0.00 μB/cell, calculated total energy -19.4 eV/cell, raw formation energy 1.6 eV/f.u..